A plane-wave DFT calculation with PBE was carried out for a relaxed structure of Ca2TiIrO6.

Lattice parameters (Å, degrees): 5.5560 5.4186 9.4544 54.87 90.00 90.00
Closest atoms and distances in Å follow each position.
Fractional coordinates of all 20 atoms:
Ca 0.9496 0.2390 0.7495  6 O 2.35-2.60
Ca 0.0504 0.7610 0.2505  6 O 2.35-2.60
Ca 0.5504 0.2390 0.2495  6 O 2.35-2.60
Ca 0.4496 0.7610 0.7505  6 O 2.35-2.60
O 0.2099 0.8443 0.9548  1 Ti 1.98, 1 Ir 2.03
O 0.7030 0.7491 0.9569  1 Ti 1.98, 1 Ir 2.02
O 0.7901 0.1557 0.0452  1 Ti 1.98, 1 Ir 2.03
O 0.2970 0.2509 0.0431  1 Ti 1.98, 1 Ir 2.02
O 0.5228 0.3319 0.7530  1 Ti 1.97, 1 Ir 2.02
O 0.7970 0.7491 0.4569  1 Ti 1.98, 1 Ir 2.02
O 0.4772 0.6681 0.2470  1 Ti 1.97, 1 Ir 2.02
O 0.7099 0.1557 0.5452  1 Ti 1.98, 1 Ir 2.03
O 0.2901 0.8443 0.4548  1 Ti 1.98, 1 Ir 2.03
O 0.0228 0.6681 0.7470  1 Ti 1.97, 1 Ir 2.02
O 0.2030 0.2509 0.5431  1 Ti 1.98, 1 Ir 2.02
O 0.9772 0.3319 0.2530  1 Ti 1.97, 1 Ir 2.02
Ti 0.5000 0.0000 0.0000  6 O 1.97-1.98
Ti 0.0000 0.0000 0.5000  6 O 1.97-1.98
Ir 0.0000 0.5000 0.0000  6 O 2.02-2.03
Ir 0.5000 0.5000 0.5000  6 O 2.02-2.03

Polymorph energy (0 for the lowest one)   0.00 kcal/mol of atoms
Mass density   5938 kg/m3
Raw total energy   -7.440 eV per atom